# 1
## MgZrPd6 (GGA-PBE)

Data for MgZrPd6 after structural relaxation.

## Properties
Calculated formation energy, meV per atom: -668
Final energy, eV per atom: -5.831
M_tot, μB/f.u.: 0.0

Lattice parameters (Å, degrees): 4.016 4.016 7.957 90.00 90.00 90.00
Positions (direct):
Mg 0.000 0.000 0.000
Zr 0.000 0.000 0.500
Pd 0.000 0.500 0.249
Pd 0.000 0.500 0.751
Pd 0.500 0.000 0.249
Pd 0.500 0.000 0.751
Pd 0.500 0.500 0.000
Pd 0.500 0.500 0.500

---

# 2
## Ga2Tc3Ge2 (GGA-PBE)

Data for Ga2Tc3Ge2 after structural relaxation.

## Properties
Calculated formation energy, meV per atom: -23
Final energy, eV per atom: -6.650
M_tot, μB/f.u.: 0.0

Lattice parameters (Å, degrees): 5.709 5.709 6.372 106.47 106.47 32.81
Positions (direct):
Ga 0.156 0.156 0.405
Ga 0.844 0.844 0.595
Tc 0.000 0.000 0.000
Tc 0.249 0.249 0.836
Tc 0.751 0.751 0.164
Ge 0.437 0.437 0.277
Ge 0.563 0.563 0.723

---

# 3
## Ce4HoAl3 (GGA-PBE)

Data for Ce4HoAl3 after structural relaxation.

## Properties
Calculated formation energy, meV per atom: -231
Final energy, eV per atom: -5.174
M_tot, μB/f.u.: 1.0

Lattice parameters (Å, degrees): 10.048 10.048 4.573 102.56 102.56 25.53
Positions (direct):
Ce 0.134 0.134 0.185
Ce 0.365 0.365 0.413
Ce 0.635 0.635 0.587
Ce 0.866 0.866 0.815
Ho 0.500 0.500 0.000
Al 0.000 0.000 0.500
Al 0.251 0.251 0.798
Al 0.749 0.749 0.202

---

# 4
## La2Dy6Er3Sc (GGA-PBE)

Data for La2Dy6Er3Sc after structural relaxation.

## Properties
Calculated formation energy, meV per atom: 31
Final energy, eV per atom: -4.759
M_tot, μB/f.u.: 0.0

Lattice parameters (Å, degrees): 6.136 6.136 11.769 94.98 94.98 120.02
Positions (direct):
La 0.166 0.834 0.000
La 0.834 0.166 0.000
Dy 0.086 0.416 0.747
Dy 0.254 0.254 0.254
Dy 0.416 0.086 0.747
Dy 0.584 0.914 0.253
Dy 0.746 0.746 0.746
Dy 0.914 0.584 0.253
Er 0.000 0.000 0.500
Er 0.334 0.666 0.500
Er 0.666 0.334 0.500
Sc 0.500 0.500 0.000

---

# 5
## DyGa7Tc2 (GGA-PBE)

Data for DyGa7Tc2 after structural relaxation.

## Properties
Calculated formation energy, meV per atom: -73
Final energy, eV per atom: -4.725
M_tot, μB/f.u.: 0.0

Lattice parameters (Å, degrees): 6.869 6.869 4.741 90.00 90.00 99.84
Positions (direct):
Dy 0.000 0.000 0.000
Ga 0.101 0.354 0.500
Ga 0.298 0.702 0.000
Ga 0.354 0.101 0.500
Ga 0.500 0.500 0.500
Ga 0.646 0.899 0.500
Ga 0.702 0.298 0.000
Ga 0.899 0.646 0.500
Tc 0.264 0.736 0.500
Tc 0.736 0.264 0.500

---

# 6
## RbTl3Sn (GGA-PBE)

Data for RbTl3Sn after structural relaxation.

## Properties
Calculated formation energy, meV per atom: 817
Distance to the lowest polymorph of the same formula, kJ/mol of formula units: 436.9
Final energy, eV per atom: -1.597
M_tot, μB/f.u.: 0.0

Lattice parameters (Å, degrees): 6.194 6.194 6.194 90.00 90.00 90.00
Positions (direct):
Rb 0.000 0.000 0.000
Tl 0.000 0.000 0.500
Tl 0.000 0.500 0.000
Tl 0.500 0.000 0.000
Sn 0.500 0.500 0.500

---

Question: What is the M_tot in the fifth record?
Answer: 0.0 μB/f.u.

---

Question: Among the records above, which one has the highest final energy?
Answer: RbTl3Sn

---

Please write out number 4 again, unchanged.
## La2Dy6Er3Sc (GGA-PBE)

Data for La2Dy6Er3Sc after structural relaxation.

## Properties
Calculated formation energy, meV per atom: 31
Final energy, eV per atom: -4.759
M_tot, μB/f.u.: 0.0

Lattice parameters (Å, degrees): 6.136 6.136 11.769 94.98 94.98 120.02
Positions (direct):
La 0.166 0.834 0.000
La 0.834 0.166 0.000
Dy 0.086 0.416 0.747
Dy 0.254 0.254 0.254
Dy 0.416 0.086 0.747
Dy 0.584 0.914 0.253
Dy 0.746 0.746 0.746
Dy 0.914 0.584 0.253
Er 0.000 0.000 0.500
Er 0.334 0.666 0.500
Er 0.666 0.334 0.500
Sc 0.500 0.500 0.000

---

Question: What is the formula in the third record?
Answer: Ce4HoAl3